DFT (PBE+U) results for crystalline K3FeW2O9 at its relaxed geometry.

Computed properties:
E_tot = -6.27 eV/atom
mass density = 6.144 Mg/m³

Structure (CIF):
```
data_K3FeW2O9
_symmetry_space_group_name_H-M 'P -3 m 1'
_symmetry_Int_Tables_number 164
_symmetry_space_group_name_Hall '-P 3 2"'
_cell_length_a 5.5856
_cell_length_b 5.5856
_cell_length_c 6.8504
_cell_angle_alpha 90.00
_cell_angle_beta 90.00
_cell_angle_gamma 120.00
loop_
_atom_site_label
_atom_site_type_symbol
_atom_site_fract_x
_atom_site_fract_y
_atom_site_fract_z
_atom_site_occupancy
K1 K 0.0000 0.0000 0.0000 1
K2 K 0.3333 0.6667 0.6656 1
Fe1 Fe 0.0000 0.0000 0.5000 1
W1 W 0.3333 0.6667 0.1800 1
O1 O 0.0000 0.5000 0.0000 1
O2 O 0.1680 0.3360 0.3302 1
```